A plane-wave DFT calculation with GGA-PBE was carried out for SrZnIn2Ni after structural relaxation.

Geometry as CIF:
```
data_SrZnIn2Ni
_chemical_formula_sum 'Sr1 Zn1 In2 Ni1'
_cell_length_a 5.000
_cell_length_b 5.000
_cell_length_c 4.814
_cell_angle_alpha 90.00
_cell_angle_beta 90.00
_cell_angle_gamma 90.00
_space_group_name_H-M_alt 'P 4/m m m'
_space_group_IT_number 123
_space_group_name_Hall '-P 4 2'
loop_
_atom_site_label
_atom_site_type_symbol
_atom_site_fract_x
_atom_site_fract_y
_atom_site_fract_z
Sr1 Sr 0.000 0.000 0.000
Zn1 Zn 0.500 0.500 0.000
In1 In 0.000 0.500 0.500
Ni1 Ni 0.500 0.500 0.500
```

E, eV for the cell shown: -15.3
Energy of formation, eV per atom: -0.216
Calculated volume, Å³ per cell: 120.3